A plane-wave DFT calculation with PBE was carried out for crystalline YMoPb2 at its relaxed geometry.

The structure in extended XYZ format:
```
4
Lattice="-2.200 2.200 5.098 2.200 -2.200 5.098 2.200 2.200 -5.098" Properties=species:S:1:pos:R:3 pbc="T T T"
Y 0.000 0.000 0.000
Mo 2.200 0.000 2.549
Pb 0.000 0.000 5.098
Pb 0.000 2.200 2.549
```

E_tot   -5.886 eV/atom
Energy relative to the elements   292 meV/atom
Volume   98.70 Å³ per cell